(1)
Density functional theory data (PBE) for an optimized crystal structure of TbZnSn.

```
data_TbZnSn
_chemical_formula_sum 'Tb1 Zn1 Sn1'
_symmetry_space_group_name_H-M 'P 3 m 1'
_symmetry_Int_Tables_number 156
_symmetry_space_group_name_Hall 'P 3 -2"'
_cell_length_a 4.4469
_cell_length_b 4.4469
_cell_length_c 4.1628
_cell_angle_alpha 90.00
_cell_angle_beta 90.00
_cell_angle_gamma 120.00
loop_
_atom_site_label
_atom_site_type_symbol
_atom_site_fract_x
_atom_site_fract_y
_atom_site_fract_z
Tb1 Tb 0.0000 0.0000 0.0000
Zn1 Zn 0.3333 0.6667 0.4093
Sn1 Sn 0.6667 0.3333 0.5260
```

Summary:
For the formation energy from the elements, the calculation gives -12.01 kcal/mol of atoms. The value obtained for the magnetization is 0.0 μB/f.u.

=====

(2)
Density functional theory data (PBE) for an optimized crystal structure of RbHgPO2.

```
data_RbHgPO2
_chemical_formula_sum 'Rb1 Hg1 P1 O2'
_symmetry_space_group_name_H-M 'P 4/m m m'
_symmetry_Int_Tables_number 123
_symmetry_space_group_name_Hall '-P 4 2'
_cell_length_a 4.6082
_cell_length_b 4.6082
_cell_length_c 5.0265
_cell_angle_alpha 90.00
_cell_angle_beta 90.00
_cell_angle_gamma 90.00
loop_
_atom_site_label
_atom_site_type_symbol
_atom_site_fract_x
_atom_site_fract_y
_atom_site_fract_z
Rb1 Rb 0.0000 0.0000 0.0000
Hg1 Hg 0.5000 0.5000 0.5000
P1 P 0.5000 0.5000 0.0000
O1 O 0.0000 0.5000 0.5000
```

Summary:
For the energy relative to the elements, uncorrected, the calculation gives 0.36 eV/atom. The value obtained for the energy above the most stable polymorph in this dataset is 0.0 kJ per mole of atoms. The value obtained for the magnetization is 2.9 μB/f.u.

=====

(3)
Density functional theory data (PBE) for an optimized crystal structure of NiH3Ir.

```
data_NiH3Ir
_chemical_formula_sum 'Ni1 H3 Ir1'
_symmetry_space_group_name_H-M 'P m -3 m'
_symmetry_Int_Tables_number 221
_symmetry_space_group_name_Hall '-P 4 2 3'
_cell_length_a 3.2467
_cell_length_b 3.2467
_cell_length_c 3.2467
_cell_angle_alpha 90.00
_cell_angle_beta 90.00
_cell_angle_gamma 90.00
loop_
_atom_site_label
_atom_site_type_symbol
_atom_site_fract_x
_atom_site_fract_y
_atom_site_fract_z
Ni1 Ni 0.0000 0.0000 0.0000
H1 H 0.0000 0.0000 0.5000
Ir1 Ir 0.5000 0.5000 0.5000
```

Summary:
The value obtained for the energy above the most stable polymorph in this dataset is 9.0 kJ per mole of atoms. The value obtained for the magnetization is 0.0 μB/f.u.

=====

(4)
Density functional theory data (PBE) for an optimized crystal structure of CeYHoTh.

```
data_CeYHoTh
_chemical_formula_sum 'Ce4 Y4 Ho4 Th4'
_symmetry_space_group_name_H-M 'F -4 3 m'
_symmetry_Int_Tables_number 216
_symmetry_space_group_name_Hall 'F -4 2 3'
_cell_length_a 7.9978
_cell_length_b 7.9978
_cell_length_c 7.9978
_cell_angle_alpha 90.00
_cell_angle_beta 90.00
_cell_angle_gamma 90.00
loop_
_atom_site_label
_atom_site_type_symbol
_atom_site_fract_x
_atom_site_fract_y
_atom_site_fract_z
Ce1 Ce 0.0000 0.0000 0.0000
Y1 Y 0.2500 0.2500 0.7500
Ho1 Ho 0.0000 0.0000 0.5000
Th1 Th 0.2500 0.2500 0.2500
```

Summary:
For the formation energy from the elements, the calculation gives 5.23 kcal/mol of atoms. The value obtained for the energy above the most stable polymorph in this dataset is 19.3 kJ per mole of atoms. The value obtained for the magnetization is 2.9 μB/f.u.